5
Lattice="3.788 0.000 0.000 0.000 3.788 0.000 0.000 0.000 3.789" Properties=species:S:1:pos:R:3 comment="NbCo2HRh | Alexandria via LeMat-Bulk | PBE | optimized geometry" sg=P4/mmm final_energy_ev_per_atom=-7.23 e_above_lowest_polymorph_mev_per_atom=0 volume_a3_per_atom=10.88 pbc="T T T"
Nb 0.000 0.000 0.000
Co 0.000 1.894 1.895
Co 1.894 0.000 1.895
H 1.894 1.894 1.895
Rh 1.894 1.894 0.000